(1)
Nd4Zn5Pt6 | PBE-GGA | relaxed

CIF file:
```
data_Nd4Zn5Pt6
_chemical_formula_sum 'Nd16 Zn20 Pt24'
_cell_length_a 4.1201
_cell_length_b 20.3098
_cell_length_c 15.2437
_cell_angle_alpha 90.00
_cell_angle_beta 90.00
_cell_angle_gamma 90.00
_space_group_name_H-M_alt 'C m c 21'
_space_group_IT_number 36
_space_group_name_Hall 'C 2c -2'
loop_
_atom_site_label
_atom_site_type_symbol
_atom_site_fract_x
_atom_site_fract_y
_atom_site_fract_z
Nd1 Nd 0.0000 0.0078 0.0000
Nd2 Nd 0.0000 0.0339 0.2586
Nd3 Nd 0.0000 0.1622 0.7890
Nd4 Nd 0.0000 0.1864 0.4261
Zn1 Zn 0.0000 0.1520 0.1147
Zn2 Zn 0.0000 0.3048 0.0991
Zn3 Zn 0.0000 0.3394 0.7558
Zn4 Zn 0.0000 0.3596 0.4705
Zn5 Zn 0.0000 0.4429 0.1621
Pt1 Pt 0.0000 0.1166 0.6009
Pt2 Pt 0.0000 0.2159 0.9732
Pt3 Pt 0.0000 0.2346 0.2408
Pt4 Pt 0.0000 0.4214 0.8932
Pt5 Pt 0.0000 0.4270 0.6197
Pt6 Pt 0.0000 0.4432 0.3433
```

(2)
NdZn11Pt | PBE-GGA | relaxed

CIF file:
```
data_NdZn11Pt
_chemical_formula_sum 'Nd2 Zn22 Pt2'
_cell_length_a 5.2380
_cell_length_b 12.7098
_cell_length_c 6.8323
_cell_angle_alpha 90.00
_cell_angle_beta 111.89
_cell_angle_gamma 90.00
_space_group_name_H-M_alt 'C 1 2/m 1'
_space_group_IT_number 12
_space_group_name_Hall '-C 2y'
loop_
_atom_site_label
_atom_site_type_symbol
_atom_site_fract_x
_atom_site_fract_y
_atom_site_fract_z
Nd1 Nd 0.0000 0.0000 0.0000
Zn1 Zn 0.0000 0.5000 0.5000
Zn2 Zn 0.1064 0.3891 0.2184
Zn3 Zn 0.1643 0.1769 0.3553
Zn4 Zn 0.2500 0.2500 0.0000
Pt1 Pt 0.0000 0.0000 0.5000
```

(3)
Nd4Zn2Pt | PBE-GGA | relaxed

CIF file:
```
data_Nd4Zn2Pt
_chemical_formula_sum 'Nd12 Zn6 Pt3'
_cell_length_a 5.1449
_cell_length_b 5.1449
_cell_length_c 25.1199
_cell_angle_alpha 90.00
_cell_angle_beta 90.00
_cell_angle_gamma 120.00
_space_group_name_H-M_alt 'R -3 m'
_space_group_IT_number 166
_space_group_name_Hall '-R 3 2"'
loop_
_atom_site_label
_atom_site_type_symbol
_atom_site_fract_x
_atom_site_fract_y
_atom_site_fract_z
Nd1 Nd 0.0000 0.0000 0.1235
Nd2 Nd 0.0000 0.0000 0.3743
Zn1 Zn 0.0000 0.0000 0.2458
Pt1 Pt 0.0000 0.0000 0.0000
```

(4)
Nd2Zn15Pt2 | PBE-GGA | relaxed

CIF file:
```
data_Nd2Zn15Pt2
_chemical_formula_sum 'Nd6 Zn45 Pt6'
_cell_length_a 9.0316
_cell_length_b 9.0316
_cell_length_c 13.3583
_cell_angle_alpha 90.00
_cell_angle_beta 90.00
_cell_angle_gamma 120.00
_space_group_name_H-M_alt 'R -3 m'
_space_group_IT_number 166
_space_group_name_Hall '-R 3 2"'
loop_
_atom_site_label
_atom_site_type_symbol
_atom_site_fract_x
_atom_site_fract_y
_atom_site_fract_z
Nd1 Nd 0.0000 0.0000 0.1621
Zn1 Zn 0.0000 0.2837 0.5000
Zn2 Zn 0.0000 0.5000 0.0000
Zn3 Zn 0.0028 0.5014 0.6520
Pt1 Pt 0.0000 0.0000 0.3897
```

For the records above, the corresponding calculated formation energy values read -799; -281; -381; -356 meV per atom.